# B3RuRh, optimized geometry, DFT PBEsol
# SG: Pm-3m (221)
# Raw total energy: -33.5 eV for the cell shown
data_B3RuRh
_cell_length_a 3.9216
_cell_length_b 3.9216
_cell_length_c 3.9216
_cell_angle_alpha 90.00
_cell_angle_beta 90.00
_cell_angle_gamma 90.00
_space_group_name_H-M_alt 'P 1'
_space_group_IT_number 1
loop_
_space_group_symop_operation_xyz
'x,y,z'
loop_
_atom_site_label
_atom_site_fract_x
_atom_site_fract_y
_atom_site_fract_z
B1 0.0000 0.5000 0.0000
B2 0.5000 0.0000 0.0000
B3 0.0000 0.0000 0.5000
Rh1 0.5000 0.5000 0.5000
Ru1 0.0000 0.0000 0.0000